A plane-wave DFT calculation with PBE was carried out for a relaxed structure of TlZnTcSn2.

Computed properties:
The value obtained for the energy above the most stable polymorph in this dataset is 647.6 meV/atom. The energy relative to the elements comes out at 0.83 eV/atom. Its density of states at the Fermi level is 2.60 states/eV per cell. As for the space group: No. 123. The total energy comes out at -17.86 eV for the cell shown.

Lattice parameters (Å, degrees): 5.1609 4.9864 5.1609 90.00 90.00 90.00
Last column: nearest neighbours and their distance in Å.
Positions (direct):
Zn  0.0000  0.0000  0.0000  2 Tc 2.49, 4 Sn 2.58
Sn  0.5000  0.0000  0.0000  2 Zn 2.58
Tl  0.5000  0.5000  0.5000  8 Sn 3.59, 4 Tc 3.65
Tc  0.0000  0.5000  0.0000  2 Zn 2.49
Sn  0.0000  0.0000  0.5000  2 Zn 2.58